Record 1
This record from Alexandria describes a relaxed structure of LuScGaNi. The functional is GGA-PBE.

The formation energy is -0.51 eV/atom. The calculation puts the calculated volume at 18.68 Å³ per atom. Its crystal system is cubic. The total magnetization is 0.00 Bohr magnetons per cell. As for the space-group type: F-43m, No. 216.

a = 4.7277 Å, b = 4.7277 Å, c = 4.7277 Å
α = 60.00°, β = 60.00°, γ = 60.00°
Last column: nearest neighbours and their distance in Å.
Atoms (fractional coordinates):
Ga  0.7500  0.7500  0.7500  4 Sc 2.90, 4 Lu 2.90
Lu  0.0000  0.0000  0.0000  4 Ni 2.90, 4 Ga 2.90
Sc  0.5000  0.5000  0.5000  4 Ga 2.90, 4 Ni 2.90
Ni  0.2500  0.2500  0.2500  4 Sc 2.90, 4 Lu 2.90

---

Record 2
This record from Alexandria describes a relaxed structure of Ba2IrPd2. The functional is GGA-PBE.

The formation energy is -0.11 eV/atom. The calculation puts the calculated volume at 25.46 Å³ per atom. Its crystal system is tetragonal. The total magnetization is 0.00 Bohr magnetons per cell. As for the space-group type: P4/mbm, No. 127.

a = 7.2885 Å, b = 7.2885 Å, c = 4.7922 Å
α = 90.00°, β = 90.00°, γ = 90.00°
Last column: nearest neighbours and their distance in Å.
Atoms (fractional coordinates):
Pd  0.1343  0.3657  0.0000  1 Pd 2.77, 2 Ir 2.84, 2 Ba 3.06
Pd  0.8657  0.6343  0.0000  1 Pd 2.77, 2 Ir 2.84, 2 Ba 3.06
Pd  0.6343  0.1343  0.0000  1 Pd 2.77, 2 Ir 2.84, 2 Ba 3.06
Ir  0.5000  0.5000  0.0000  4 Pd 2.84
Ba  0.8184  0.3184  0.5000  6 Pd 3.06-3.34
Ba  0.3184  0.1816  0.5000  6 Pd 3.06-3.34
Pd  0.3657  0.8657  0.0000  1 Pd 2.77, 2 Ir 2.84, 2 Ba 3.06
Ba  0.6816  0.8184  0.5000  6 Pd 3.06-3.34
Ba  0.1816  0.6816  0.5000  6 Pd 3.06-3.34
Ir  0.0000  0.0000  0.0000  4 Pd 2.84

---

Record 3
This record from Alexandria describes a relaxed structure of Pr7Nd2Ho. The functional is GGA-PBE.

The formation energy is 0.61 eV/atom. The calculation puts the calculated volume at 42.00 Å³ per atom. Its crystal system is orthorhombic. The total magnetization is 0.00 Bohr magnetons per cell. As for the space-group type: Cmmm, No. 65.

a = 5.5321 Å, b = 9.6455 Å, c = 9.6455 Å
α = 125.31°, β = 90.00°, γ = 90.00°
Last column: nearest neighbours and their distance in Å.
Atoms (fractional coordinates):
Nd  0.5000  0.7045  0.2955  4 Pr 3.09-3.26
Pr  0.5000  0.7088  0.9285  2 Pr 3.21-3.39, 2 Nd 3.26-3.56
Nd  0.5000  0.2955  0.7045  4 Pr 3.09-3.26
Pr  0.0000  0.2149  0.7851  2 Nd 3.09
Pr  0.5000  0.0715  0.2912  2 Pr 3.21-3.39, 2 Nd 3.26-3.56
Ho  0.0000  0.0000  0.0000  10 Pr 3.68-3.71
Pr  0.5000  0.2912  0.0715  2 Pr 3.21-3.39, 2 Nd 3.26-3.56
Pr  0.0000  0.7851  0.2149  2 Nd 3.09
Pr  0.5000  0.5000  0.5000  4 Pr 3.39, 2 Nd 3.50
Pr  0.5000  0.9285  0.7088  2 Pr 3.21-3.39, 2 Nd 3.26-3.56

---

Record 4
This record from Alexandria describes a relaxed structure of ZrAl2Cu. The functional is GGA-PBE.

The formation energy is -0.06 eV/atom. The calculation puts the calculated volume at 17.05 Å³ per atom. Its crystal system is trigonal. The total magnetization is 0.00 Bohr magnetons per cell. As for the space-group type: R3m, No. 160.

a = 9.3143 Å, b = 9.3143 Å, c = 9.3143 Å
α = 18.11°, β = 18.11°, γ = 18.11°
Last column: nearest neighbours and their distance in Å.
Atoms (fractional coordinates):
Cu  0.5074  0.5074  0.5074  3 Al 2.58
Zr  0.7525  0.7525  0.7525  6 Zr 2.93, 3 Cu 2.96, 3 Al 3.01
Al  0.2450  0.2450  0.2450  3 Cu 2.58, 3 Al 2.85
Al  0.9951  0.9951  0.9951  9 Al 2.85-2.93, 3 Zr 3.01

---

Record 5
This record from Alexandria describes a relaxed structure of CsFeCu3. The functional is GGA-PBE.

Its energy above the lowest structure with this stoichiometry is 0.0 meV/atom. The formation energy is 0.84 eV/atom. The calculation puts the calculated volume at 22.99 Å³ per atom. Its crystal system is cubic. The total magnetization is 3.15 Bohr magnetons per cell. As for the space-group type: Pm-3m, No. 221.

a = 4.8620 Å, b = 4.8620 Å, c = 4.8620 Å
α = 90.00°, β = 90.00°, γ = 90.00°
Last column: nearest neighbours and their distance in Å.
Atoms (fractional coordinates):
Cu  0.0000  0.5000  0.0000  2 Fe 2.43
Cu  0.0000  0.0000  0.5000  2 Fe 2.43
Cs  0.5000  0.5000  0.5000  12 Cu 3.44
Fe  0.0000  0.0000  0.0000  6 Cu 2.43
Cu  0.5000  0.0000  0.0000  2 Fe 2.43

---

Record 6
This record from Alexandria describes a relaxed structure of KCdOs2. The functional is GGA-PBE.

The formation energy is 1.50 eV/atom. The calculation puts the calculated volume at 19.08 Å³ per atom. Its crystal system is tetragonal. The total magnetization is 0.00 Bohr magnetons per cell. As for the space-group type: I4/mmm, No. 139.

a = 5.7432 Å, b = 5.7432 Å, c = 5.7432 Å
α = 140.40°, β = 140.40°, γ = 57.24°
Last column: nearest neighbours and their distance in Å.
Atoms (fractional coordinates):
K  0.7500  0.2500  0.5000  4 Cd 2.75
Os  0.0000  0.0000  0.0000  4 Os 2.75
Cd  0.2500  0.7500  0.5000  4 K 2.75
Os  0.5000  0.5000  0.0000  4 Os 2.75

---

Record 7
This record from Alexandria describes a relaxed structure of La3SnO. The functional is GGA-PBE.

The calculation puts the calculated volume at 26.94 Å³ per atom. Its crystal system is monoclinic. The total magnetization is 0.00 Bohr magnetons per cell. As for the space-group type: C2/m, No. 12. As for the energy relative to the elements, uncorrected: -1.428 eV/atom.

a = 17.6409 Å, b = 6.5313 Å, c = 6.5313 Å
α = 133.38°, β = 143.06°, γ = 36.94°
Last column: nearest neighbours and their distance in Å.
Atoms (fractional coordinates):
La  0.6558  0.2021  0.7979  1 O 2.62
La  0.8091  0.2960  0.7040  2 O 2.54
Sn  0.5911  0.9942  0.0058  1 Sn 3.09, 5 La 3.35-3.42
O  0.9272  0.9508  0.0492  6 La 2.54-2.62
La  0.0615  0.5849  0.4151  3 O 2.60
O  0.0728  0.0492  0.9508  6 La 2.54-2.62
Sn  0.4089  0.0058  0.9942  1 Sn 3.09, 5 La 3.35-3.42
La  0.1909  0.7040  0.2960  2 O 2.54
La  0.3442  0.7979  0.2021  1 O 2.62
La  0.9385  0.4151  0.5849  3 O 2.60

---

Record 8
This record from Alexandria describes a relaxed structure of Li4ZnNi. The functional is GGA-PBE.

Its energy above the lowest structure with this stoichiometry is 0.0 meV/atom. The formation energy is -0.05 eV/atom. The calculation puts the calculated volume at 13.89 Å³ per atom. Its crystal system is monoclinic. The total magnetization is 0.00 Bohr magnetons per cell. As for the space-group type: C2/m, No. 12.

a = 4.4066 Å, b = 4.9842 Å, c = 4.9842 Å
α = 98.30°, β = 114.69°, γ = 114.69°
Last column: nearest neighbours and their distance in Å.
Atoms (fractional coordinates):
Ni  0.5000  0.0000  0.5000  2 Zn 2.51, 4 Li 2.77
Li  0.2479  0.0797  0.9131  5 Li 2.48-2.55, 1 Ni 2.77
Li  0.7521  0.9203  0.0869  5 Li 2.48-2.55, 1 Ni 2.77
Li  0.7521  0.5869  0.4203  5 Li 2.48-2.55, 1 Ni 2.77
Li  0.2479  0.4131  0.5797  5 Li 2.48-2.55, 1 Ni 2.77
Zn  0.0000  0.5000  0.0000  2 Ni 2.51, 8 Li 2.80

---

Record 9
This record from Alexandria describes a relaxed structure of Ta2Be2Ag. The functional is GGA-PBE.

The formation energy is 0.01 eV/atom. The calculation puts the calculated volume at 13.84 Å³ per atom. Its crystal system is tetragonal. The total magnetization is 0.00 Bohr magnetons per cell. As for the space-group type: P4/mbm, No. 127.

a = 6.1165 Å, b = 6.1165 Å, c = 3.6992 Å
α = 90.00°, β = 90.00°, γ = 90.00°
Last column: nearest neighbours and their distance in Å.
Atoms (fractional coordinates):
Be  0.8753  0.6247  0.0000  1 Be 2.16
Ta  0.8346  0.3346  0.5000  6 Be 2.57-2.59, 1 Ta 2.86
Ag  0.5000  0.5000  0.0000  4 Be 2.42
Be  0.1247  0.3753  0.0000  1 Be 2.16
Ta  0.3346  0.1654  0.5000  6 Be 2.57-2.59, 1 Ta 2.86
Ta  0.1654  0.6654  0.5000  6 Be 2.57-2.59, 1 Ta 2.86
Be  0.6247  0.1247  0.0000  1 Be 2.16
Be  0.3753  0.8753  0.0000  1 Be 2.16
Ag  0.0000  0.0000  0.0000  4 Be 2.42
Ta  0.6654  0.8346  0.5000  6 Be 2.57-2.59, 1 Ta 2.86

---

Record 10
This record from Alexandria describes a relaxed structure of As2RhAu. The functional is GGA-PBE.

The formation energy is 0.05 eV/atom. The calculation puts the calculated volume at 19.54 Å³ per atom. Its crystal system is monoclinic. The total magnetization is 0.00 Bohr magnetons per cell. As for the space-group type: Pm, No. 6.

a = 4.0321 Å, b = 2.9491 Å, c = 7.0671 Å
α = 68.44°, β = 90.00°, γ = 90.00°
Last column: nearest neighbours and their distance in Å.
Atoms (fractional coordinates):
Au  0.0000  0.6019  0.5065  4 As 2.72-2.73, 4 Rh 2.88, 2 Au 2.95
As  0.5000  0.2528  0.3393  1 Rh 2.53, 4 Au 2.72-2.73
Rh  0.5000  0.9094  0.7246  3 As 2.43-2.53
As  0.0000  0.7359  0.9297  2 Rh 2.43

---

- calculated volume of number 2 (Ba2IrPd2)?
  25.46 Å³ per atom

---

- Look up the calculated volume of the tenth one.
  19.54 Å³ per atom

---

- Which value of calculated volume does entry 9 give?
  13.84 Å³ per atom

---

- The lowest calculated volume belongs to which entry?
  Ta2Be2Ag